Record 1
Pr3Sm2Pb4 | PBE-GGA | relaxed

abc: 8.8719 8.8719 6.9461
angles: 103.94 103.94 33.66
Fractional positions:
Pr 0.0000 0.0000 0.0000
Pr 0.1160 0.1160 0.5769
Pr 0.8840 0.8840 0.4231
Sm 0.3344 0.3344 0.9181
Sm 0.6656 0.6656 0.0819
Pb 0.2494 0.2494 0.2949
Pb 0.4946 0.4946 0.7151
Pb 0.5054 0.5054 0.2849
Pb 0.7506 0.7506 0.7051

The value obtained for the energy of formation from the pure elements is -488 meV/atom. The density of states at the Fermi level is 5.9 states/eV/cell. The value obtained for the final energy is -4.778 eV/atom. Its crystal system is monoclinic. The calculation puts the magnetization at 0.0 μB/cell.

***

Record 2
Pr4Sm3Pb | PBE-GGA | relaxed

abc: 10.2118 7.1995 7.2454
angles: 90.00 90.00 90.00
Fractional positions:
Pr 0.0000 0.0002 0.0000
Pr 0.0000 0.4992 0.5004
Pr 0.2503 0.2460 0.7502
Pr 0.2497 0.7540 0.2502
Pr 0.5000 0.9998 0.5000
Pr 0.5000 0.5008 0.0004
Pr 0.7497 0.2460 0.7502
Pr 0.7503 0.7540 0.2502
Sm 0.0000 0.5000 0.0000
Sm 0.2499 0.2380 0.2502
Sm 0.2501 0.7620 0.7502
Sm 0.5000 0.5000 0.5000
Sm 0.7501 0.2380 0.2502
Sm 0.7499 0.7620 0.7502
Pb 0.0000 0.9998 0.5003
Pb 0.5000 0.0002 0.0003

The value obtained for the energy of formation from the pure elements is -107 meV/atom. The density of states at the Fermi level is 22.1 states/eV/cell. The value obtained for the final energy is -4.730 eV/atom. Its crystal system is orthorhombic. The calculation puts the magnetization at 0.0 μB/cell.

***

Record 3
Pr3SmPb | PBE-GGA | relaxed

abc: 9.2828 8.8338 9.8708
angles: 90.00 121.52 90.00
Fractional positions:
Pr 0.0807 0.0783 0.2914
Pr 0.0807 0.4217 0.7914
Pr 0.2889 0.0642 0.7111
Pr 0.2889 0.4358 0.2111
Pr 0.4081 0.6993 0.9520
Pr 0.4081 0.8007 0.4520
Pr 0.5919 0.1993 0.5480
Pr 0.5919 0.3007 0.0480
Pr 0.7111 0.5642 0.7889
Pr 0.7111 0.9358 0.2889
Pr 0.9193 0.5783 0.2086
Pr 0.9193 0.9217 0.7086
Sm 0.2791 0.0639 0.0671
Sm 0.2791 0.4361 0.5671
Sm 0.7209 0.5639 0.4329
Sm 0.7209 0.9361 0.9329
Pb 0.0942 0.7483 0.5458
Pb 0.0942 0.7517 0.0458
Pb 0.9058 0.2483 0.9542
Pb 0.9058 0.2517 0.4542

The value obtained for the energy of formation from the pure elements is -176 meV/atom. The density of states at the Fermi level is 22.5 states/eV/cell. The value obtained for the final energy is -4.729 eV/atom. Its crystal system is monoclinic. The calculation puts the magnetization at 0.0 μB/cell.

***

Record 4
Pr3SmPb2 | PBE-GGA | relaxed

abc: 9.3354 9.3354 9.3354
angles: 132.90 71.87 129.08
Fractional positions:
Pr 0.0410 0.7500 0.2910
Pr 0.2500 0.2500 0.0000
Pr 0.4590 0.7500 0.7090
Pr 0.5410 0.2500 0.2910
Pr 0.7500 0.7500 0.0000
Pr 0.9590 0.2500 0.7090
Sm 0.0000 0.5000 0.5000
Sm 0.5000 0.0000 0.5000
Pb 0.1423 0.1784 0.3207
Pb 0.3577 0.6784 0.0362
Pb 0.6423 0.3216 0.9638
Pb 0.8577 0.8216 0.6793

The value obtained for the energy of formation from the pure elements is -201 meV/atom. The density of states at the Fermi level is 17.5 states/eV/cell. The value obtained for the final energy is -4.613 eV/atom. Its crystal system is orthorhombic. The calculation puts the magnetization at 0.0 μB/cell.

***

Record 5
Pr3Sm2Pb3 | PBE-GGA | relaxed

abc: 9.3974 9.3974 6.8751
angles: 90.00 90.00 120.00
Fractional positions:
Pr 0.0000 0.2406 0.2500
Pr 0.0000 0.7594 0.7500
Pr 0.2406 0.0000 0.2500
Pr 0.2406 0.2406 0.7500
Pr 0.7594 0.0000 0.7500
Pr 0.7594 0.7594 0.2500
Sm 0.3333 0.6667 0.0000
Sm 0.3333 0.6667 0.5000
Sm 0.6667 0.3333 0.0000
Sm 0.6667 0.3333 0.5000
Pb 0.0000 0.3962 0.7500
Pb 0.0000 0.6038 0.2500
Pb 0.3962 0.0000 0.7500
Pb 0.3962 0.3962 0.2500
Pb 0.6038 0.0000 0.2500
Pb 0.6038 0.6038 0.7500

The value obtained for the energy of formation from the pure elements is -546 meV/atom. The density of states at the Fermi level is 17.3 states/eV/cell. The value obtained for the final energy is -4.909 eV/atom. Its crystal system is hexagonal. The calculation puts the magnetization at 0.0 μB/cell.

***

Record 6
Pr7Sm12Pb | PBE-GGA | relaxed

abc: 8.9266 8.9266 8.9266
angles: 89.09 89.09 89.09
Fractional positions:
Pr 0.0000 0.0000 0.0000
Pr 0.1202 0.7131 0.2658
Pr 0.2658 0.1202 0.7131
Pr 0.2869 0.7342 0.8798
Pr 0.7131 0.2658 0.1202
Pr 0.7342 0.8798 0.2869
Pr 0.8798 0.2869 0.7342
Sm 0.0388 0.1570 0.3783
Sm 0.1570 0.3783 0.0388
Sm 0.1630 0.4957 0.6147
Sm 0.3783 0.0388 0.1570
Sm 0.3853 0.8370 0.5043
Sm 0.4957 0.6147 0.1630
Sm 0.5043 0.3853 0.8370
Sm 0.6147 0.1630 0.4957
Sm 0.6217 0.9612 0.8430
Sm 0.8370 0.5043 0.3853
Sm 0.8430 0.6217 0.9612
Sm 0.9612 0.8430 0.6217
Pb 0.5000 0.5000 0.5000

The value obtained for the energy of formation from the pure elements is 149 meV/atom. The density of states at the Fermi level is 36.8 states/eV/cell. The value obtained for the final energy is -4.540 eV/atom. Its crystal system is trigonal. The calculation puts the magnetization at 0.0 μB/cell.

***

Record 7
Pr4SmPb4 | PBE-GGA | relaxed

abc: 9.7837 9.7837 6.5835
angles: 90.00 90.00 90.00
Fractional positions:
Pr 0.0324 0.6673 0.1247
Pr 0.1673 0.9676 0.6247
Pr 0.3327 0.5324 0.6247
Pr 0.4676 0.8327 0.1247
Pr 0.5324 0.1673 0.8753
Pr 0.6673 0.4676 0.3753
Pr 0.8327 0.0324 0.3753
Pr 0.9676 0.3327 0.8753
Sm 0.2500 0.2500 0.2500
Sm 0.7500 0.7500 0.7500
Pb 0.0295 0.6494 0.6170
Pb 0.1494 0.9705 0.1170
Pb 0.3506 0.5295 0.1170
Pb 0.4705 0.8506 0.6170
Pb 0.5295 0.1494 0.3830
Pb 0.6494 0.4705 0.8830
Pb 0.8506 0.0295 0.8830
Pb 0.9705 0.3506 0.3830

The value obtained for the energy of formation from the pure elements is -322 meV/atom. The density of states at the Fermi level is 15.5 states/eV/cell. The value obtained for the final energy is -4.619 eV/atom. Its crystal system is tetragonal. The calculation puts the magnetization at 0.0 μB/cell.

***

Record 8
Pr2SmPb2 | PBE-GGA | relaxed

abc: 5.2803 5.2803 13.4329
angles: 90.00 90.00 120.00
Fractional positions:
Pr 0.0000 0.0000 0.0000
Pr 0.0000 0.0000 0.5000
Pr 0.3333 0.6667 0.2500
Pr 0.6667 0.3333 0.7500
Sm 0.0000 0.0000 0.2500
Sm 0.0000 0.0000 0.7500
Pb 0.3333 0.6667 0.6240
Pb 0.3333 0.6667 0.8760
Pb 0.6667 0.3333 0.1240
Pb 0.6667 0.3333 0.3760

The value obtained for the energy of formation from the pure elements is -211 meV/atom. The density of states at the Fermi level is 9.3 states/eV/cell. The value obtained for the final energy is -4.550 eV/atom. Its crystal system is hexagonal. The calculation puts the magnetization at 0.0 μB/cell.